TbPm5Er2Sc | PBE | optimized geometry

Cell: 5.3388 21.7931 10.1936 Å, 90.00 90.00 90.00°
Last column: nearest neighbours and their distance in Å.
Space group Cmc2_1 (No. 36)
Unique sites:
Tb1 0.0000 0.1009 0.0000 x4  6 Pm 3.24-3.48
Pm1 0.0000 0.0000 0.2500 x4  2 Tb 3.37, 4 Er 3.67-3.68, 6 Pm 3.69-3.75
Pm2 0.0000 0.1261 0.5003 x4  1 Sc 3.46, 4 Er 3.71, 6 Pm 3.75-3.81
Pm3 0.0000 0.2206 0.1885 x4  2 Pm 3.22, 1 Tb 3.24, 3 Sc 3.29-3.48, 2 Er 3.57
Pm4 0.0000 0.2212 0.8128 x4  2 Pm 3.22, 1 Tb 3.24, 3 Sc 3.29-3.47, 2 Er 3.57
Pm5 0.0000 0.4986 0.0001 x4  2 Tb 3.48, 4 Er 3.58-3.60, 6 Pm 3.69-3.81
Er1 0.0000 0.3839 0.2519 x4  1 Sc 3.33, 9 Pm 3.57-3.71, 2 Tb 3.69
Er2 0.0000 0.3842 0.7483 x4  1 Sc 3.32, 9 Pm 3.57-3.71, 2 Tb 3.69
Sc1 0.0000 0.2851 0.5006 x4  7 Pm 3.29-3.48, 2 Er 3.32-3.33, 2 Tb 3.65

Crystal system: orthorhombic
Energy of formation from the pure elements in meV/atom: 129
Total energy in eV per atom: -4.74